No. 1
Density functional theory data (PBE) for an optimized crystal structure of BaSi3Pt3.

```
BaSi3Pt3
1.0
8.195 0.000 0.000
0.000 4.266 0.000
-3.444 0.000 8.505
Ba Si Pt
2 6 6
Direct
0.117 0.250 0.226
0.883 0.750 0.774
0.203 0.250 0.654
0.321 0.750 0.032
0.416 0.750 0.552
0.584 0.250 0.448
0.679 0.250 0.968
0.797 0.750 0.346
0.117 0.750 0.521
0.362 0.250 0.928
0.479 0.750 0.316
0.521 0.250 0.684
0.638 0.750 0.072
0.883 0.250 0.479
```

## Properties
Spin magnetization (μB/atom): 0.000
Density of states at the Fermi level (states/eV per cell): 5.06
Energy above the most stable polymorph in this dataset (meV per atom): 4
Formation energy without anion corrections (eV per formula unit): -5.362

***

No. 2
Density functional theory data (PBE) for an optimized crystal structure of SrPm2Ir9.

```
SrPm2Ir9
1.0
2.701 1.560 8.786
-2.701 1.560 8.786
0.000 -3.119 8.786
Sr Pm Ir
1 2 9
Direct
0.000 0.000 0.000
0.139 0.139 0.139
0.861 0.861 0.861
0.085 0.580 0.580
0.332 0.332 0.332
0.420 0.420 0.915
0.420 0.915 0.420
0.500 0.500 0.500
0.580 0.085 0.580
0.580 0.580 0.085
0.668 0.668 0.668
0.915 0.420 0.420
```

## Properties
Spin magnetization (μB/atom): 0.000
Density of states at the Fermi level (states/eV per cell): 12.68
Formation enthalpy at 0 K (meV per atom): -412

***

No. 3
Density functional theory data (PBE) for an optimized crystal structure of InSF2.

```
InSF2
1.0
0.000 3.070 3.070
3.070 0.000 3.070
3.070 3.070 0.000
In S F
1 1 2
Direct
0.000 0.000 0.000
0.500 0.500 0.500
0.250 0.250 0.250
0.750 0.750 0.750
```

## Properties
Spin magnetization (μB/atom): 0.287
Density of states at the Fermi level (states/eV per cell): 3.86
Energy above the most stable polymorph in this dataset (meV per atom): 384
Formation energy without anion corrections (eV per formula unit): -2.620

***

No. 4
Density functional theory data (PBE) for an optimized crystal structure of LaTbCeIn.

```
LaTbCeIn
1.0
0.000 3.898 3.898
3.898 0.000 3.898
3.898 3.898 0.000
La Tb Ce In
1 1 1 1
Direct
0.000 0.000 0.000
0.500 0.500 0.500
0.250 0.250 0.250
0.750 0.750 0.750
```

## Properties
Spin magnetization (μB/atom): 0.058
Density of states at the Fermi level (states/eV per cell): 7.23
Formation enthalpy at 0 K (meV per atom): -87

***

No. 5
Density functional theory data (PBE) for an optimized crystal structure of Nb2Pd2S3.

```
Nb2Pd2S3
1.0
3.272 0.000 0.000
-0.016 6.196 0.000
-1.598 -1.370 6.004
Nb Pd S
2 2 3
Direct
0.126 0.382 0.253
0.874 0.618 0.747
0.445 0.292 0.881
0.555 0.708 0.119
0.000 0.000 0.000
0.257 0.757 0.505
0.743 0.243 0.495
```

## Properties
Spin magnetization (μB/atom): 0.000
Density of states at the Fermi level (states/eV per cell): 3.99
Formation energy without anion corrections (eV per formula unit): -4.161

***

No. 6
Density functional theory data (PBE) for an optimized crystal structure of Cs2CaIN.

```
Cs2CaIN
1.0
6.666 0.000 0.000
0.000 6.666 0.000
0.000 0.000 4.564
Cs Ca I N
2 1 1 1
Direct
0.000 0.500 0.000
0.500 0.000 0.000
0.000 0.000 0.500
0.500 0.500 0.500
0.000 0.000 0.000
```

## Properties
Spin magnetization (μB/atom): 0.000
Density of states at the Fermi level (states/eV per cell): 0.52
Formation energy without anion corrections (eV per formula unit): -2.244

***

No. 7
Density functional theory data (PBE) for an optimized crystal structure of Dy2HoTh3Bi6.

```
Dy2HoTh3Bi6
1.0
9.879 -2.271 0.000
9.879 2.271 0.000
-2.043 0.000 8.809
Dy Ho Th Bi
2 1 3 6
Direct
0.167 0.167 0.333
0.833 0.833 0.667
0.500 0.500 0.000
0.167 0.167 0.833
0.500 0.500 0.500
0.833 0.833 0.167
0.002 0.002 0.244
0.331 0.331 0.422
0.336 0.336 0.912
0.664 0.664 0.088
0.669 0.669 0.578
0.998 0.998 0.756
```

## Properties
Spin magnetization (μB/atom): 0.000
Density of states at the Fermi level (states/eV per cell): 6.58
Formation enthalpy at 0 K (meV per atom): -706

***

No. 8
Density functional theory data (PBE) for an optimized crystal structure of LiFe2Br.

```
LiFe2Br
1.0
1.494 0.863 8.445
-1.494 0.863 8.445
0.000 -1.725 8.445
Li Fe Br
1 2 1
Direct
0.000 0.000 0.000
0.246 0.246 0.246
0.754 0.754 0.754
0.500 0.500 0.500
```

## Properties
Spin magnetization (μB/atom): 1.402
Density of states at the Fermi level (states/eV per cell): 3.76
Energy above the most stable polymorph in this dataset (meV per atom): 608
Formation energy without anion corrections (eV per formula unit): 2.505